Compound: Ga2As2W
Source: Alexandria
Functional: GGA-PBE
Structure: relaxed Values from VASP.

Cell and atoms, written as Quantum ESPRESSO input:
```
&SYSTEM
  ibrav = 0, nat = 5, ntyp = 3
/
ATOMIC_SPECIES
Ga 69.72 Ga.upf
As 74.92 As.upf
W 183.84 W.upf
CELL_PARAMETERS angstrom
-1.697 1.697 8.247
1.697 -1.697 8.247
1.697 1.697 -8.247
ATOMIC_POSITIONS angstrom
Ga 1.697 0.000 4.124
Ga 0.000 1.697 4.124
As 0.000 0.000 1.392
As 0.000 0.000 15.102
W 0.000 0.000 8.247
```

Results
D(E_F) = 2.7 states/eV per cell
Crystal system = tetragonal
SG = No. 139
Polymorph energy (0 for the lowest one) = 1.43 kJ/mol of atoms
Formation energy = 0.376 eV per atom